The following is a PBE calculation of a relaxed structure of NbCr2Si2, from Alexandria.

Its distance to the lowest polymorph of the same formula is 392 meV per atom. The value obtained for the total magnetization is 0.00 Bohr magnetons per cell.

The structure belongs to space group I4/mmm (No. 139); the cell edges are 4.287, 4.287 and 7.851 Å and the angles 90.00°, 90.00° and 90.00°. The asymmetric unit holds Nb at (0.000, 0.000, 0.000), Cr at (0.000, 0.000, 0.375) and Si at (0.000, 0.500, 0.250).